Entry 1:
VASP calculation (PBEsol) on LiPtSe after structural relaxation.

Results
Energy above the most stable polymorph in this dataset (kcal/mol of atoms): 0.00
Magnetization (Bohr magnetons per cell): 0.00
Formation energy from raw total energies (eV per atom): -0.50
Mass density (kg/m3): 9921

Cell: 4.2971 4.2971 2.9409 Å, 90.00 90.00 120.00°
Space group P-6m2 (No. 187)
Symmetry-distinct sites (fractional):
Li: 0.0000 0.0000 0.0000
Pt: 0.3333 0.6667 0.5000
Se: 0.6667 0.3333 0.5000

Entry 2:
VASP calculation (PBEsol) on LiPtSe after structural relaxation.

Results
Energy above the most stable polymorph in this dataset (kcal/mol of atoms): 6.33
Magnetization (Bohr magnetons per cell): 0.00
Formation energy from raw total energies (eV per atom): -0.22
Mass density (kg/m3): 10031

Cell: 2.874 2.874 11.261 Å, 90.00 90.00 90.00°
Space group I4mm (No. 107)
Symmetry-distinct sites (fractional):
Li: 0.000 0.000 0.000
Pt: 0.000 0.000 0.657
Se: 0.000 0.000 0.321

Entry 3:
VASP calculation (PBEsol) on LiSiPt2 after structural relaxation.

Results
Magnetization (Bohr magnetons per cell): 0.00
Formation energy from raw total energies (eV per atom): -0.76
Mass density (kg/m3): 13651

Cell: 3.903 3.903 3.395 Å, 90.00 90.00 90.00°
Space group P4/mmm (No. 123)
Symmetry-distinct sites (fractional):
Li: 0.000 0.000 0.000
Si: 0.500 0.500 0.000
Pt: 0.000 0.500 0.500

Entry 4:
VASP calculation (PBEsol) on LiSiPt3 after structural relaxation.

Results
Magnetization (Bohr magnetons per cell): 0.00
Formation energy from raw total energies (eV per atom): -0.01
Mass density (kg/m3): 11423

Cell: 4.484 4.484 4.484 Å, 90.00 90.00 90.00°
Space group Pm-3m (No. 221)
Symmetry-distinct sites (fractional):
Li: 0.000 0.000 0.000
Si: 0.500 0.500 0.500
Pt: 0.000 0.500 0.500

Entry 5:
VASP calculation (PBEsol) on LiSiPt2 after structural relaxation.

Results
Magnetization (Bohr magnetons per cell): 0.00
Formation energy from raw total energies (eV per atom): -0.70
Mass density (kg/m3): 13651

Cell: 5.650 6.560 2.791 Å, 90.00 90.00 90.00°
Space group Cmmm (No. 65)
Symmetry-distinct sites (fractional):
Li: 0.000 0.000 0.000
Si: 0.000 0.500 0.000
Pt: 0.250 0.250 0.500

Entry 6:
VASP calculation (PBEsol) on LiSiPt after structural relaxation.

Results
Magnetization (Bohr magnetons per cell): 0.00
Formation energy from raw total energies (eV per atom): -0.66
Mass density (kg/m3): 9212

Cell: 4.1415 4.1415 2.7923 Å, 90.00 90.00 120.00°
Space group P-6m2 (No. 187)
Symmetry-distinct sites (fractional):
Li: 0.0000 0.0000 0.0000
Si: 0.6667 0.3333 0.5000
Pt: 0.3333 0.6667 0.5000

Number 4 is which compound?
LiSiPt3